#one
{
  "formula": "DyLuRu",
  "functional": "PBE-GGA",
  "state": "relaxed",
  "cell": [[0.0000, 3.3450, 3.3450], [3.3450, 0.0000, 3.3450], [3.3450, 3.3450, 0.0000]],
  "species": ["Dy", "Lu", "Ru"],
  "fractional_positions": [[0.0000, 0.0000, 0.0000], [0.5000, 0.5000, 0.5000], [0.2500, 0.2500, 0.2500]],
  "magmom_total_mub_per_cell": 0.0,
  "sg": "F-43m",
  "n_ef_per_ev_fu": 0.75,
  "crystal_system": "cubic"
}

***

#two
{
  "formula": "DyLuRu",
  "functional": "PBE-GGA",
  "state": "relaxed",
  "cell": [[-1.6859, 1.6859, 6.3613], [1.6859, -1.6859, 6.3613], [1.6859, 1.6859, -6.3613]],
  "species": ["Dy", "Lu", "Ru"],
  "fractional_positions": [[0.0000, 0.0000, 0.0000], [0.2557, 0.2557, 0.0000], [0.6318, 0.6318, 0.0000]],
  "magmom_total_mub_per_cell": 0.0,
  "sg": "I4mm",
  "n_ef_per_ev_fu": 1.41,
  "crystal_system": "tetragonal"
}

***

Decreasing stability: #two, #one